Entry from Alexandria via LeMat-Bulk: NbCoSi2Hg after structural relaxation (GGA-PBE).

abc: 4.9321 4.9321 4.6132
angles: 90.00 90.00 90.00
Closest atoms and distances in Å follow each position.
Space group P4/mmm (No. 123)
Symmetry-distinct sites (fractional):
Nb1 0.0000 0.0000 0.0000  2 Co 2.31, 4 Si 2.47
Co1 0.0000 0.0000 0.5000  2 Nb 2.31
Si1 0.0000 0.5000 0.0000  2 Nb 2.47
Hg1 0.5000 0.5000 0.5000  8 Si 3.38, 4 Co 3.49

uncorrected energy	-4.644	eV per atom
E_form (uncorrected)	1021	meV/atom